# 1
Below is Np2BiPH2 after structural relaxation, with properties calculated at the PBE level.

Computed properties:
total moment: 7.2 μB/f.u.
total DFT energy (no corrections): -7.370 eV/atom
space group: P-3m1, No. 164

Cell lengths 3.7803, 3.7803, 8.5490 Å; angles 90.00, 90.00, 120.00 degrees
Last column: nearest neighbours and their distance in Å.
Fractional positions:
Np 0.3333 0.6667 0.7045  3 H 2.20
Np 0.6667 0.3333 0.2955  3 H 2.20
H 0.6667 0.3333 0.7333  3 Np 2.20
H 0.3333 0.6667 0.2667  3 Np 2.20
Bi 0.0000 0.0000 0.0000  6 H 3.16, 6 Np 3.34
P 0.0000 0.0000 0.5000  6 Np 2.80, 6 H 2.96

# 2
Below is AgHg3Pb4 after structural relaxation, with properties calculated at the PBE level.

Computed properties:
total moment: 0.0 μB/f.u.
formation enthalpy at 0 K: 0.047 eV/atom
total DFT energy (no corrections): -2.276 eV/atom
space group: P4/mmm, No. 123

Cell lengths 3.7734, 3.7734, 15.2461 Å; angles 90.00, 90.00, 90.00 degrees
Last column: nearest neighbours and their distance in Å.
Fractional positions:
Ag 0.5000 0.5000 0.0000  8 Pb 3.19
Hg 0.5000 0.5000 0.7571  8 Pb 3.31, 1 Ag 3.70
Hg 0.5000 0.5000 0.5000  8 Pb 3.31
Hg 0.5000 0.5000 0.2429  8 Pb 3.31, 1 Ag 3.70
Pb 0.0000 0.0000 0.3711  8 Hg 3.31
Pb 0.0000 0.0000 0.1141  4 Ag 3.19, 4 Hg 3.31, 1 Pb 3.48
Pb 0.0000 0.0000 0.8859  4 Ag 3.19, 4 Hg 3.31, 1 Pb 3.48
Pb 0.0000 0.0000 0.6289  8 Hg 3.31

# 3
Below is GdLuInPt after structural relaxation, with properties calculated at the PBE level.

Computed properties:
total moment: 7.2 μB/f.u.
formation enthalpy at 0 K: -0.747 eV/atom
total DFT energy (no corrections): -7.593 eV/atom
space group: F-43m, No. 216

Cell lengths 5.1048, 5.1048, 5.1048 Å; angles 60.00, 60.00, 60.00 degrees
Last column: nearest neighbours and their distance in Å.
Fractional positions:
Lu 0.0000 0.0000 0.0000  4 In 3.13, 4 Pt 3.13
Pt 0.7500 0.7500 0.7500  4 Gd 3.13, 4 Lu 3.13
In 0.2500 0.2500 0.2500  4 Gd 3.13, 4 Lu 3.13
Gd 0.5000 0.5000 0.5000  4 In 3.13, 4 Pt 3.13

# 4
Below is CrCoSe2 after structural relaxation, with properties calculated at the PBE level.

Computed properties:
energy relative to the lowest polymorph listed for this composition: 513 meV/atom
total moment: 3.9 μB/f.u.
uncorrected formation energy: 0.13 eV/atom
total DFT energy (no corrections): -5.796 eV/atom
space group: P4/mmm, No. 123

Cell lengths 6.9494, 4.3955, 3.1153 Å; angles 89.92, 63.48, 129.22 degrees
Last column: nearest neighbours and their distance in Å.
Fractional positions:
Se 0.0000 0.0000 0.0000  4 Cr 2.69-2.70, 4 Co 2.69-2.70
Se 0.5000 0.0000 0.5000  4 Co 2.69-2.70, 4 Cr 2.69-2.70
Cr 0.5000 0.5000 0.0000  8 Se 2.69-2.70
Co 0.0000 0.5000 0.5000  8 Se 2.69-2.70

no.,D(E_F) (states/eV per atom)
1,2.029
2,0.347
3,0.885
4,0.881